{"formula": "K3CuMo2O8", "functional": "PBE+U", "state": "optimized geometry", "dft_energy_ev_per_cell": -84.0, "density_g_cm3": 3.5, "m_tot_mub_per_cell": 0.12, "lattice_angstrom": [[5.9517, 0.0000, 0.0000], [-2.9758, 5.1543, 0.0000], [0.0000, 0.0000, 7.6521]], "species": ["Cu", "Mo", "Mo", "O", "O", "O", "O", "O", "O", "O", "O", "K", "K", "K"], "fractional_positions": [[0.0000, 0.0000, 0.5000], [0.3333, 0.6667, 0.2273], [0.6667, 0.3333, 0.7727], [0.6604, 0.8302, 0.3149], [0.6667, 0.3333, 0.0062], [0.1698, 0.8302, 0.3149], [0.3333, 0.6667, 0.9938], [0.8302, 0.1698, 0.6851], [0.1698, 0.3396, 0.3149], [0.8302, 0.6604, 0.6851], [0.3396, 0.1698, 0.6851], [0.0000, 0.0000, 0.0000], [0.6667, 0.3333, 0.3423], [0.3333, 0.6667, 0.6577]]}